VASP calculation (PBE) on a relaxed structure of LiAlCo2.

The structure in POSCAR format:
```
LiAlCo2
1.0
-5.193 -3.366 1.596
2.511 -5.185 -2.768
-0.282 -4.900 1.545
Co Li Al
4 2 2
direct
0.619 0.125 0.250
0.875 0.869 0.750
0.131 0.625 0.250
0.375 0.381 0.750
0.250 0.750 0.500
0.500 0.500 0.000
0.000 0.000 0.000
0.750 0.250 0.500
```

Computed properties:
- Space group: I-42d, No. 122
- Spin magnetization: 2.51 μB/f.u.
- Raw total energy: -37.48 eV for the cell shown

=====

VASP calculation (PBE) on a relaxed structure of Ta2ReW.

The structure in POSCAR format:
```
Ta2ReW
1.0
4.507 0.000 0.000
0.000 2.819 -0.004
0.000 0.905 5.249
W Ta Re
1 2 1
direct
0.500 0.250 0.250
0.000 0.998 0.999
0.000 0.502 0.501
0.500 0.750 0.750
```

Computed properties:
- Space group: P2/m, No. 10
- Spin magnetization: 0.00 μB/f.u.
- Raw total energy: -49.81 eV for the cell shown

=====

VASP calculation (PBE) on a relaxed structure of Dy4HoAg2.

The structure in POSCAR format:
```
Dy4HoAg2
1.0
5.417 0.000 0.000
2.708 4.691 0.000
2.708 1.564 8.272
Dy Ag Ho
4 2 1
direct
0.126 0.126 0.621
0.269 0.269 0.193
0.874 0.874 0.379
0.731 0.731 0.807
0.386 0.386 0.841
0.614 0.614 0.159
0.500 0.500 0.500
```

Computed properties:
- Space group: R-3m, No. 166
- Spin magnetization: 0.00 μB/f.u.
- Raw total energy: -27.86 eV for the cell shown

=====

VASP calculation (PBE) on a relaxed structure of Cd2AsSe.

The structure in POSCAR format:
```
Cd2AsSe
1.0
6.874 -0.113 0.836
5.825 3.649 0.835
0.506 0.142 3.902
Cd Se As
2 1 1
direct
0.962 0.962 0.803
0.283 0.282 0.452
0.512 0.512 0.260
0.744 0.743 0.985
```

Computed properties:
- Space group: Cm, No. 8
- Spin magnetization: 0.00 μB/f.u.
- Formation energy without anion corrections: -79 meV/atom

=====

Result set for density of states at the Fermi level: 9.1; 1.4; 8.9; 2.5 states/eV/cell, one per record in the order listed.